(w)
Density functional theory data (PBE) for an optimized crystal structure of Th3SiSe2.

Computed properties:
**Calculated density**: 9.11 g/cm3
**Total magnetic moment**: 0.0 μB/cell

a = 4.275 Å, b = 5.971 Å, c = 12.599 Å
α = 90.00°, β = 90.00°, γ = 90.00°
Space group Immm (No. 71)
Symmetry-distinct sites (fractional):
Th 0.000 0.000 0.000 (multiplicity 2)
Th 0.000 0.000 0.342 (multiplicity 4)
Si 0.000 0.500 0.000 (multiplicity 2)
Se 0.000 0.500 0.332 (multiplicity 4)

***

(x)
Density functional theory data (PBE) for an optimized crystal structure of Th3SiSe2.

Computed properties:
**Calculated density**: 9.09 g/cm3
**Total magnetic moment**: 0.0 μB/cell

a = 7.365 Å, b = 12.700 Å, c = 7.308 Å
α = 90.00°, β = 109.44°, γ = 90.00°
Space group C2/m (No. 12)
Symmetry-distinct sites (fractional):
Th 0.236 0.000 0.237 (multiplicity 4)
Th 0.248 0.171 0.760 (multiplicity 8)
Si 0.000 0.167 0.000 (multiplicity 4)
Se 0.000 0.000 0.500 (multiplicity 2)
Se 0.000 0.336 0.500 (multiplicity 4)
Se 0.000 0.500 0.000 (multiplicity 2)

***

Which of them is the least stable? Correct choice: (w).